Below is a relaxed structure of Pa2Si3Os, with properties calculated at the PBE level.

Lattice parameters (Å, degrees): 8.142 8.062 5.688 70.20 68.70 41.10
Positions (direct):
Pa 0.243 0.757 0.757
Pa 0.250 0.250 0.250
Pa 0.750 0.750 0.750
Pa 0.757 0.243 0.243
Si 0.173 0.662 0.338
Si 0.335 0.335 0.665
Si 0.338 0.827 0.173
Si 0.662 0.173 0.827
Si 0.665 0.665 0.335
Si 0.827 0.338 0.662
Os 0.165 0.165 0.835
Os 0.835 0.835 0.165

Output
For the calculated volume, the calculation gives 18.9 Å³/atom. The magnetization comes out at 0.04 Bohr magnetons per cell. For the total energy, the calculation gives -8.392 eV/atom.